1.
This record from Alexandria via LeMat-Bulk describes a relaxed PrErPtAu crystal. The functional is PBE-GGA.

```
4
Lattice="5.103 0.000 0.000 2.551 4.419 0.000 2.551 1.473 4.166" Properties=species:S:1:pos:R:3 pbc="T T T"
Pr 5.103 2.946 2.083
Pt 7.654 4.419 3.125
Au 2.551 1.473 1.042
Er 0.000 0.000 0.000
```

## Properties
**ΔE to the lowest computed polymorph**: 55 meV per atom
**Total magnetic moment**: 0.00 μB per formula unit
**ΔE_f**: -0.950 eV per atom
**Mass density**: 12.38 g cm⁻³

=====

2.
This record from Alexandria via LeMat-Bulk describes a relaxed PrErRhAu crystal. The functional is PBE-GGA.

```
4
Lattice="3.848 0.000 0.000 0.000 4.660 0.000 -1.924 0.000 5.278" Properties=species:S:1:pos:R:3 pbc="T T T"
Er 1.924 2.330 3.853
Au 1.924 2.330 0.844
Rh 0.000 0.000 4.318
Pr 0.000 0.000 1.541
```

## Properties
**ΔE to the lowest computed polymorph**: 0 meV per atom
**Total magnetic moment**: 0.00 μB per formula unit
**ΔE_f**: -0.788 eV per atom
**Mass density**: 10.67 g cm⁻³

=====

3.
This record from Alexandria via LeMat-Bulk describes a relaxed PrErRhAu crystal. The functional is PBE-GGA.

```
4
Lattice="5.060 0.000 0.000 2.530 4.382 0.000 2.530 1.461 4.131" Properties=species:S:1:pos:R:3 pbc="T T T"
Rh 5.060 2.921 2.066
Au 0.000 0.000 0.000
Er 7.589 4.382 3.098
Pr 2.530 1.461 1.033
```

## Properties
**ΔE to the lowest computed polymorph**: 53 meV per atom
**Total magnetic moment**: 0.00 μB per formula unit
**ΔE_f**: -0.735 eV per atom
**Mass density**: 11.02 g cm⁻³

=====

4.
This record from Alexandria via LeMat-Bulk describes a relaxed PrErRuAu crystal. The functional is PBE-GGA.

```
4
Lattice="-0.212 3.904 -3.174 -3.445 0.075 -3.673 -3.859 3.228 0.233" Properties=species:S:1:pos:R:3 pbc="T T T"
Pr -1.879 1.802 -1.654
Au 0.000 0.000 0.000
Ru -3.758 3.604 -3.307
Er -5.638 5.405 -4.961
```

## Properties
**Total magnetic moment**: 0.00 μB per formula unit
**ΔE_f**: -0.473 eV per atom
**Mass density**: 11.14 g cm⁻³